[1]
Entry from Alexandria: a relaxed La8Nd3Dy2 crystal (PBE).

POSCAR file:
```
La8Nd3Dy2
1.0
-4.437 0.478 3.914
-0.878 -7.700 -0.054
7.220 3.022 7.809
La Nd Dy
8 3 2
direct
0.500 0.598 0.787
0.001 0.676 0.351
0.500 0.402 0.213
0.500 0.190 0.787
0.000 0.864 0.729
0.999 0.324 0.649
0.000 0.136 0.271
0.500 0.810 0.213
0.000 0.282 0.000
0.000 0.718 0.000
0.500 0.000 0.000
0.499 0.242 0.484
0.501 0.758 0.516
```

Summary:
* energy above the lowest structure with this stoichiometry: 0.52 eV per formula unit
* ΔE_f: 0.181 eV/atom
* symmetry: C2/m, No. 12



[2]
Entry from Alexandria: a relaxed HoTm2UC4 crystal (PBE).

POSCAR file:
```
HoTm2UC4
1.0
-0.815 -2.066 -2.771
5.294 1.465 -2.650
4.349 -3.958 1.672
Tm Ho C U
2 1 4 1
direct
0.000 0.000 0.000
0.500 0.000 0.500
0.000 0.500 0.500
0.500 0.262 0.765
0.000 0.727 0.775
0.500 0.738 0.235
0.000 0.273 0.225
0.500 0.500 0.000
```

Summary:
* ΔE_f: -0.263 eV/atom
* symmetry: P2/m, No. 10



[3]
Entry from Alexandria: a relaxed LiSmSb2Pd4 crystal (PBE).

POSCAR file:
```
LiSmSb2Pd4
1.0
4.535 0.000 0.000
2.267 3.927 0.000
2.267 1.309 8.403
Pd Sm Sb Li
4 1 2 1
direct
0.601 0.601 0.197
0.399 0.399 0.803
0.134 0.134 0.598
0.866 0.866 0.402
0.000 0.000 0.000
0.757 0.757 0.730
0.243 0.243 0.270
0.500 0.500 0.500
```

Summary:
* symmetry: R-3m, No. 166
* ΔE_f (raw): -0.71 eV/atom



[4]
Entry from Alexandria: a relaxed Dy4Ho11Tm9 crystal (PBE).

POSCAR file:
```
Dy4Ho11Tm9
1.0
3.485 0.000 0.000
0.000 14.191 -3.111
0.000 2.716 14.272
Ho Tm Dy
11 9 4
direct
0.000 0.000 0.000
0.000 0.170 0.830
0.000 0.585 0.922
0.000 0.656 0.344
0.000 0.078 0.415
0.000 0.759 0.759
0.000 0.415 0.078
0.000 0.830 0.170
0.000 0.241 0.241
0.000 0.922 0.585
0.000 0.344 0.656
0.500 0.500 0.500
0.500 0.794 0.964
0.500 0.036 0.206
0.500 0.870 0.377
0.500 0.206 0.036
0.500 0.623 0.130
0.500 0.964 0.794
0.500 0.130 0.623
0.500 0.377 0.870
0.500 0.552 0.721
0.500 0.721 0.552
0.500 0.448 0.279
0.500 0.279 0.448
```

Summary:
* ΔE_f: 0.058 eV/atom
* symmetry: Cmmm, No. 65



[5]
Entry from Alexandria: a relaxed ScTeCl2 crystal (PBE).

POSCAR file:
```
ScTeCl2
1.0
-4.474 2.715 -4.921
-4.931 -0.487 -5.201
-5.701 0.648 1.878
Cl Te Sc
2 1 1
direct
0.101 0.101 0.897
0.399 0.399 0.603
0.250 0.250 0.250
0.750 0.750 0.750
```

Summary:
* energy above the lowest structure with this stoichiometry: 0.79 eV per formula unit
* symmetry: C2/m, No. 12
* ΔE_f (raw): -1.31 eV/atom



[6]
Entry from Alexandria: a relaxed KReTc crystal (PBE).

POSCAR file:
```
KReTc
1.0
-2.864 -0.352 -3.736
-3.874 -2.687 0.240
-4.268 2.015 0.099
Tc K Re
1 1 1
direct
0.500 0.500 0.500
0.750 0.750 0.750
0.000 0.000 0.000
```

Summary:
* energy above the lowest structure with this stoichiometry: 7.89 eV per formula unit
* ΔE_f: 3.489 eV/atom
* symmetry: F-43m, No. 216



[7]
Entry from Alexandria: a relaxed MgZnBiRu2 crystal (PBE).

POSCAR file:
```
MgZnBiRu2
1.0
4.672 0.000 0.000
0.000 4.672 0.000
0.000 0.000 4.513
Zn Bi Ru Mg
1 1 2 1
direct
0.000 0.000 0.500
0.500 0.500 0.500
0.500 0.000 0.000
0.000 0.500 0.000
0.000 0.000 0.000
```

Summary:
* ΔE_f: 1.126 eV/atom
* symmetry: P4/mmm, No. 123



[8]
Entry from Alexandria: a relaxed Rb2TmZnF6 crystal (PBE).

POSCAR file:
```
Rb2TmZnF6
1.0
6.430 0.000 0.000
0.000 6.424 0.000
0.000 0.000 9.093
F Rb Zn Tm
12 4 2 2
direct
0.764 0.987 0.000
0.236 0.515 0.000
0.736 0.013 0.500
0.236 0.987 0.000
0.000 0.752 0.764
0.000 0.752 0.236
0.764 0.515 0.000
0.264 0.485 0.500
0.500 0.248 0.736
0.500 0.248 0.264
0.264 0.013 0.500
0.736 0.485 0.500
0.500 0.750 0.250
0.500 0.750 0.750
0.000 0.250 0.250
0.000 0.250 0.750
0.000 0.750 0.500
0.500 0.250 0.000
0.000 0.751 0.000
0.500 0.249 0.500
```

Summary:
* symmetry: Pmmn, No. 59
* ΔE_f (raw): -2.96 eV/atom